# 1
MgTc2Pb: optimized geometry, PBE.

Values from the calculation:
As for the space-group type: C2/m. The calculation puts the formation energy at 0.467 eV per atom. Its energy above the most stable polymorph in this dataset is 345 meV per atom.

The structure in POSCAR format:
```
MgTc2Pb
1.0
4.730 -1.621 0.000
4.730 1.621 0.000
-0.797 0.000 5.054
Mg Tc Pb
1 2 1
Direct
0.000 0.000 0.000
0.253 0.253 0.826
0.747 0.747 0.174
0.500 0.500 0.500
```

# 2
BaTe2SeS8: optimized geometry, PBE.

Values from the calculation:
As for the space-group type: C2/m. The calculation puts the raw formation energy at -12.9 kJ per mole of atoms.

The structure in POSCAR format:
```
BaTe2SeS8
1.0
8.200 -3.411 0.000
8.200 3.411 0.000
-2.513 0.000 6.419
Ba Te Se S
1 2 1 8
Direct
0.000 0.000 0.000
0.194 0.194 0.682
0.806 0.806 0.318
0.500 0.500 0.500
0.155 0.634 0.254
0.190 0.190 0.345
0.366 0.845 0.746
0.450 0.450 0.867
0.550 0.550 0.133
0.634 0.155 0.254
0.810 0.810 0.655
0.845 0.366 0.746
```

Number 1: total energy -6.04 eV per atom. Number 2: total energy -3.86 eV per atom.